KSc2Rh | GGA-PBEsol | relaxed

Cell lengths 3.260, 3.260, 9.839 Å; angles 90.00, 90.00, 90.00 degrees
Space group P4/mmm (No. 123)
Inequivalent atoms, fractional coordinates:
1 K 0.000 0.000 0.000
2 Sc 0.500 0.500 0.349
3 Rh 0.000 0.000 0.500

## Properties
E (eV per cell): -23.333
Volume (A^3/atom): 26.13
ΔH_f (0 K) (meV/atom): -212.8